# GaNi3W, relaxed, DFT GGA-PBE
data_GaNi3W
_symmetry_space_group_name_H-M 'P m -3 m'
_symmetry_Int_Tables_number 221
_symmetry_space_group_name_Hall '-P 4 2 3'
_cell_length_a 4.212
_cell_length_b 4.212
_cell_length_c 4.212
_cell_angle_alpha 90.00
_cell_angle_beta 90.00
_cell_angle_gamma 90.00
loop_
_atom_site_label
_atom_site_type_symbol
_atom_site_fract_x
_atom_site_fract_y
_atom_site_fract_z
Ga1 Ga 0.000 0.000 0.000
Ni1 Ni 0.000 0.000 0.500
W1 W 0.500 0.500 0.500
# energy relative to the lowest polymorph listed for this composition	0	meV/atom
# DFT formation energy	1099	meV/atom